Compound: Cd3BiC
Source: the Alexandria database
Functional: PBE
Structure: relaxed

Properties
* formation energy: 0.748 eV/atom
* total moment: 0.00 μB per atom
* crystal system: cubic
* distance to the lowest polymorph of the same formula: 0.0 meV/atom
* calculated density: 8.56 g/cm3
* total energy: -12.11 eV/cell

Geometry as CIF:
```
data_Cd3BiC
_space_group_name_H-M_alt 'P m -3 m'
_space_group_IT_number 221
_space_group_name_Hall '-P 4 2 3'
_cell_length_a 4.766
_cell_length_b 4.766
_cell_length_c 4.766
_cell_angle_alpha 90.00
_cell_angle_beta 90.00
_cell_angle_gamma 90.00
loop_
_atom_site_label
_atom_site_fract_x
_atom_site_fract_y
_atom_site_fract_z
Cd1 0.000 0.000 0.500
Bi1 0.500 0.500 0.500
C1 0.000 0.000 0.000
```